A plane-wave DFT calculation with PBE-GGA was carried out for a relaxed Ho6Tl5Au crystal.

Cell and atoms, written as CIF:
```
data_Ho6Tl5Au
_chemical_formula_sum 'Ho12 Tl10 Au2'
_cell_length_a 5.298
_cell_length_b 15.891
_cell_length_c 7.524
_cell_angle_alpha 90.00
_cell_angle_beta 90.00
_cell_angle_gamma 90.00
_space_group_name_H-M_alt 'C m m m'
_space_group_IT_number 65
_space_group_name_Hall '-C 2 2'
loop_
_atom_site_label
_atom_site_type_symbol
_atom_site_fract_x
_atom_site_fract_y
_atom_site_fract_z
Ho1 Ho 0.000 0.000 0.240
Ho2 Ho 0.000 0.338 0.245
Tl1 Tl 0.000 0.167 0.000
Tl2 Tl 0.000 0.169 0.500
Tl3 Tl 0.000 0.500 0.500
Au1 Au 0.000 0.500 0.000
```

- DOS at the Fermi energy: 0.9901 states/eV per atom
- Energy of formation: -462 kJ/mol of formula units

***

A plane-wave DFT calculation with PBE-GGA was carried out for a relaxed BeFeH crystal.

Cell and atoms, written as CIF:
```
data_BeFeH
_chemical_formula_sum 'Be4 Fe4 H4'
_cell_length_a 8.333
_cell_length_b 2.587
_cell_length_c 4.455
_cell_angle_alpha 90.00
_cell_angle_beta 121.26
_cell_angle_gamma 90.00
_space_group_name_H-M_alt 'C 1 2/m 1'
_space_group_IT_number 12
_space_group_name_Hall '-C 2y'
loop_
_atom_site_label
_atom_site_type_symbol
_atom_site_fract_x
_atom_site_fract_y
_atom_site_fract_z
Be1 Be 0.002 0.000 0.265
Fe1 Fe 0.224 0.500 0.714
H1 H 0.145 0.500 0.011
```

- Energy above the lowest structure with this stoichiometry: 73 meV/atom
- DOS at the Fermi energy: 0.6738 states/eV per atom